Material: ZrFe2CuN
Method: DFT, GGA-PBE
State: relaxed

Output
The value obtained for the formation energy from raw total energies is 2556 meV/atom. As for the total magnetization: 5.164 Bohr magnetons per cell. As for the theoretical density: 4.6 g cm⁻³.

Cell lengths 4.5315, 4.9360, 4.5315 Å; angles 90.00, 90.00, 90.00 degrees
Closest atoms and distances in Å follow each position.
Atoms (fractional coordinates):
N 0.5000 0.5000 0.5000  4 Cu 3.20, 8 Fe 3.35
Fe 0.5000 0.0000 0.0000  2 Zr 2.27
Cu 0.0000 0.5000 0.0000  2 Zr 2.47
Zr 0.0000 0.0000 0.0000  4 Fe 2.27, 2 Cu 2.47
Fe 0.0000 0.0000 0.5000  2 Zr 2.27

***

Material: NaFe2Cu
Method: DFT, GGA-PBE
State: relaxed

Output
Its energy relative to the lowest polymorph listed for this composition is 0.0 kJ/mol of atoms. As for the total magnetization: 5.365 Bohr magnetons per cell. The calculated formation energy comes out at 783.5 meV/atom. As for the theoretical density: 5.8 g cm⁻³.

Cell lengths 4.3072, 4.3072, 4.3072 Å; angles 60.00, 60.00, 60.00 degrees
Closest atoms and distances in Å follow each position.
Atoms (fractional coordinates):
Cu 0.5000 0.5000 0.5000  8 Fe 2.64
Na 0.0000 0.0000 0.0000  8 Fe 2.64
Fe 0.7500 0.7500 0.7500  4 Na 2.64, 4 Cu 2.64
Fe 0.2500 0.2500 0.2500  4 Cu 2.64, 4 Na 2.64

***

Material: NaFe2Cu
Method: DFT, GGA-PBE
State: relaxed

Output
Its energy relative to the lowest polymorph listed for this composition is 4.3 kJ/mol of atoms. As for the total magnetization: 11.360 Bohr magnetons per cell. The calculated formation energy comes out at 827.7 meV/atom. As for the theoretical density: 5.3 g cm⁻³.

Cell lengths 3.6262, 3.6262, 9.7592 Å; angles 79.29, 79.29, 90.00 degrees
Closest atoms and distances in Å follow each position.
Atoms (fractional coordinates):
Na 0.2500 0.7500 0.5000  4 Cu 2.56, 4 Fe 2.73
Fe 0.3750 0.9103 0.7500  2 Fe 2.39, 2 Cu 2.64
Fe 0.6603 0.6250 0.2500  2 Fe 2.39, 2 Cu 2.64
Cu 0.0000 0.0000 0.0000  4 Na 2.56, 4 Fe 2.64
Fe 0.0897 0.1250 0.2500  2 Fe 2.39, 2 Cu 2.64
Na 0.5000 0.5000 0.0000  4 Cu 2.56, 4 Fe 2.73
Cu 0.7500 0.2500 0.5000  4 Na 2.56, 4 Fe 2.64
Fe 0.8750 0.3397 0.7500  2 Fe 2.39, 2 Cu 2.64

***

Material: NaFeCu3
Method: DFT, GGA-PBE
State: relaxed

Output
Its energy relative to the lowest polymorph listed for this composition is 0.0 kJ/mol of atoms. As for the total magnetization: 2.898 Bohr magnetons per cell. The calculated formation energy comes out at 744.6 meV/atom. As for the theoretical density: 4.7 g cm⁻³.

Cell lengths 4.5711, 4.5711, 4.5711 Å; angles 90.00, 90.00, 90.00 degrees
Closest atoms and distances in Å follow each position.
Atoms (fractional coordinates):
Na 0.5000 0.5000 0.5000  12 Cu 3.23
Cu 0.0000 0.0000 0.5000  2 Fe 2.29
Cu 0.5000 0.0000 0.0000  2 Fe 2.29
Cu 0.0000 0.5000 0.0000  2 Fe 2.29
Fe 0.0000 0.0000 0.0000  6 Cu 2.29

***

Material: NaFeCu2
Method: DFT, GGA-PBE
State: relaxed

Output
Its energy relative to the lowest polymorph listed for this composition is 0.0 kJ/mol of atoms. As for the total magnetization: 2.907 Bohr magnetons per cell. The calculated formation energy comes out at 545.7 meV/atom. As for the theoretical density: 5.9 g cm⁻³.

Cell lengths 4.3435, 4.3435, 4.3435 Å; angles 60.00, 60.00, 60.00 degrees
Closest atoms and distances in Å follow each position.
Atoms (fractional coordinates):
Cu 0.2500 0.2500 0.2500  4 Fe 2.66, 4 Na 2.66
Fe 0.5000 0.5000 0.5000  8 Cu 2.66
Cu 0.7500 0.7500 0.7500  4 Fe 2.66, 4 Na 2.66
Na 0.0000 0.0000 0.0000  8 Cu 2.66

***

Material: Na3FeCu
Method: DFT, GGA-PBE
State: relaxed

Output
Its energy relative to the lowest polymorph listed for this composition is 0.0 kJ/mol of atoms. As for the total magnetization: 3.005 Bohr magnetons per cell. The calculated formation energy comes out at 938.1 meV/atom. As for the theoretical density: 2.1 g cm⁻³.

Cell lengths 5.3250, 5.3250, 5.3250 Å; angles 90.00, 90.00, 90.00 degrees
Closest atoms and distances in Å follow each position.
Atoms (fractional coordinates):
Fe 0.5000 0.5000 0.5000  12 Na 3.77
Na 0.0000 0.5000 0.0000  2 Cu 2.66
Na 0.0000 0.0000 0.5000  2 Cu 2.66
Cu 0.0000 0.0000 0.0000  6 Na 2.66
Na 0.5000 0.0000 0.0000  2 Cu 2.66

***

Material: NaFeCu2
Method: DFT, GGA-PBE
State: relaxed

Output
Its energy relative to the lowest polymorph listed for this composition is 29.8 kJ/mol of atoms. As for the total magnetization: 5.987 Bohr magnetons per cell. The calculated formation energy comes out at 854.6 meV/atom. As for the theoretical density: 5.3 g cm⁻³.

Cell lengths 3.8281, 3.8281, 9.2697 Å; angles 78.08, 78.08, 90.00 degrees
Closest atoms and distances in Å follow each position.
Atoms (fractional coordinates):
Fe 0.0000 0.0000 0.0000  4 Cu 2.54, 4 Na 2.71
Cu 0.3750 0.3341 0.7500  2 Cu 2.50, 2 Fe 2.54, 2 Na 2.66
Na 0.5000 0.5000 0.0000  4 Cu 2.66, 4 Fe 2.71
Na 0.2500 0.7500 0.5000  4 Cu 2.66, 4 Fe 2.71
Cu 0.6659 0.1250 0.2500  2 Cu 2.50, 2 Fe 2.54, 2 Na 2.66
Fe 0.7500 0.2500 0.5000  4 Cu 2.54, 4 Na 2.71
Cu 0.8750 0.9159 0.7500  2 Cu 2.50, 2 Fe 2.54, 2 Na 2.66
Cu 0.0841 0.6250 0.2500  2 Cu 2.50, 2 Fe 2.54, 2 Na 2.66

***

Material: Na3FeCu
Method: DFT, GGA-PBE
State: relaxed

Output
Its energy relative to the lowest polymorph listed for this composition is 37.9 kJ/mol of atoms. As for the total magnetization: 0.078 Bohr magnetons per cell. The calculated formation energy comes out at 1330.7 meV/atom. As for the theoretical density: 2.0 g cm⁻³.

Cell lengths 5.3863, 5.3863, 5.3863 Å; angles 90.00, 90.00, 90.00 degrees
Closest atoms and distances in Å follow each position.
Atoms (fractional coordinates):
Fe 0.0000 0.0000 0.0000  6 Na 2.69
Na 0.5000 0.0000 0.0000  2 Fe 2.69
Na 0.0000 0.0000 0.5000  2 Fe 2.69
Na 0.0000 0.5000 0.0000  2 Fe 2.69
Cu 0.5000 0.5000 0.5000  12 Na 3.81